# 1
# Pr12Zn3N5 PBE-GGA relaxed
# - VASP energy (eV/atom) = -5.757
# - formation energy without anion corrections (eV per atom) = -0.6166
# - total magnetic moment (μB/cell) = 0.0
data_Pr12Zn3N5
_cell_length_a 13.989
_cell_length_b 13.989
_cell_length_c 13.989
_cell_angle_alpha 109.47
_cell_angle_beta 109.47
_cell_angle_gamma 109.47
_symmetry_space_group_name_H-M 'P 1'
_symmetry_Int_Tables_number 1
loop_
_symmetry_equiv_pos_as_xyz
'x,y,z'
loop_
_atom_site_label
_atom_site_type_symbol
_atom_site_fract_x
_atom_site_fract_y
_atom_site_fract_z
Zn1 Zn 0.750 0.375 0.125
Zn2 Zn 0.875 0.750 0.125
Zn3 Zn 0.375 0.750 0.625
Zn4 Zn 0.250 0.125 0.375
Zn5 Zn 0.875 0.125 0.250
Zn6 Zn 0.375 0.625 0.250
Zn7 Zn 0.625 0.375 0.750
Zn8 Zn 0.125 0.875 0.750
Zn9 Zn 0.750 0.875 0.625
Zn10 Zn 0.625 0.250 0.375
Zn11 Zn 0.125 0.250 0.875
Zn12 Zn 0.250 0.625 0.875
N1 N 0.125 0.375 0.250
N2 N 0.000 0.500 0.000
N3 N 0.000 0.000 0.000
N4 N 0.375 0.250 0.125
N5 N 0.500 0.000 0.500
N6 N 0.500 0.500 0.000
N7 N 0.125 0.750 0.375
N8 N 0.750 0.125 0.875
N9 N 0.750 0.625 0.375
N10 N 0.375 0.125 0.750
N11 N 0.625 0.875 0.250
N12 N 0.500 0.500 0.500
N13 N 0.500 0.000 0.000
N14 N 0.000 0.000 0.500
N15 N 0.250 0.375 0.625
N16 N 0.250 0.875 0.125
N17 N 0.000 0.500 0.500
N18 N 0.875 0.250 0.625
N19 N 0.625 0.750 0.875
N20 N 0.875 0.625 0.750
Pr1 Pr 0.701 0.113 0.017
Pr2 Pr 0.316 0.517 0.404
Pr3 Pr 0.983 0.387 0.299
Pr4 Pr 0.517 0.201 0.113
Pr5 Pr 0.588 0.701 0.684
Pr6 Pr 0.983 0.596 0.184
Pr7 Pr 0.316 0.799 0.412
Pr8 Pr 0.096 0.912 0.113
Pr9 Pr 0.596 0.983 0.684
Pr10 Pr 0.701 0.588 0.184
Pr11 Pr 0.799 0.483 0.387
Pr12 Pr 0.816 0.904 0.017
Pr13 Pr 0.113 0.701 0.517
Pr14 Pr 0.387 0.404 0.088
Pr15 Pr 0.088 0.904 0.387
Pr16 Pr 0.412 0.113 0.596
Pr17 Pr 0.088 0.184 0.201
Pr18 Pr 0.483 0.684 0.096
Pr19 Pr 0.816 0.912 0.299
Pr20 Pr 0.113 0.412 0.096
Pr21 Pr 0.387 0.983 0.799
Pr22 Pr 0.596 0.613 0.412
Pr23 Pr 0.904 0.816 0.517
Pr24 Pr 0.799 0.316 0.912
Pr25 Pr 0.404 0.387 0.588
Pr26 Pr 0.096 0.184 0.483
Pr27 Pr 0.201 0.684 0.088
Pr28 Pr 0.184 0.088 0.701
Pr29 Pr 0.613 0.017 0.201
Pr30 Pr 0.887 0.588 0.904
Pr31 Pr 0.517 0.316 0.904
Pr32 Pr 0.588 0.887 0.404
Pr33 Pr 0.912 0.816 0.799
Pr34 Pr 0.912 0.096 0.613
Pr35 Pr 0.887 0.299 0.483
Pr36 Pr 0.184 0.096 0.983
Pr37 Pr 0.613 0.596 0.912
Pr38 Pr 0.404 0.017 0.316
Pr39 Pr 0.299 0.412 0.816
Pr40 Pr 0.201 0.517 0.613
Pr41 Pr 0.904 0.088 0.887
Pr42 Pr 0.684 0.201 0.588
Pr43 Pr 0.483 0.799 0.887
Pr44 Pr 0.017 0.404 0.816
Pr45 Pr 0.412 0.299 0.316
Pr46 Pr 0.017 0.613 0.701
Pr47 Pr 0.684 0.483 0.596
Pr48 Pr 0.299 0.887 0.983


# 2
# Pr2Zn2N3 PBE-GGA relaxed
# - VASP energy (eV/atom) = -6.022
# - formation energy without anion corrections (eV per atom) = -0.7241
# - total magnetic moment (μB/cell) = 0.0
data_Pr2Zn2N3
_cell_length_a 3.529
_cell_length_b 5.220
_cell_length_c 6.111
_cell_angle_alpha 100.65
_cell_angle_beta 106.78
_cell_angle_gamma 90.00
_symmetry_space_group_name_H-M 'P 1'
_symmetry_Int_Tables_number 1
loop_
_symmetry_equiv_pos_as_xyz
'x,y,z'
loop_
_atom_site_label
_atom_site_type_symbol
_atom_site_fract_x
_atom_site_fract_y
_atom_site_fract_z
Pr1 Pr 0.348 0.287 0.695
Pr2 Pr 0.652 0.713 0.305
Zn1 Zn 0.085 0.200 0.169
Zn2 Zn 0.915 0.800 0.831
N1 N 0.000 0.500 0.000
N2 N 0.689 0.223 0.378
N3 N 0.311 0.777 0.622


# 3
# Pr3ZnN PBE-GGA relaxed
# - VASP energy (eV/atom) = -5.440
# - formation energy without anion corrections (eV per atom) = -0.6520
# - total magnetic moment (μB/cell) = 0.0
data_Pr3ZnN
_cell_length_a 7.201
_cell_length_b 6.915
_cell_length_c 10.029
_cell_angle_alpha 90.00
_cell_angle_beta 90.00
_cell_angle_gamma 90.00
_symmetry_space_group_name_H-M 'P 1'
_symmetry_Int_Tables_number 1
loop_
_symmetry_equiv_pos_as_xyz
'x,y,z'
loop_
_atom_site_label
_atom_site_type_symbol
_atom_site_fract_x
_atom_site_fract_y
_atom_site_fract_z
Pr1 Pr 0.784 0.212 0.042
Pr2 Pr 0.716 0.712 0.542
Pr3 Pr 0.716 0.712 0.958
Pr4 Pr 0.216 0.788 0.542
Pr5 Pr 0.216 0.788 0.958
Pr6 Pr 0.284 0.288 0.458
Pr7 Pr 0.284 0.288 0.042
Pr8 Pr 0.784 0.212 0.458
Pr9 Pr 0.519 0.089 0.750
Pr10 Pr 0.981 0.589 0.250
Pr11 Pr 0.481 0.911 0.250
Pr12 Pr 0.019 0.411 0.750
Zn1 Zn 0.457 0.524 0.750
Zn2 Zn 0.043 0.024 0.250
Zn3 Zn 0.543 0.476 0.250
Zn4 Zn 0.957 0.976 0.750
N1 N 0.000 0.500 0.000
N2 N 0.500 0.000 0.500
N3 N 0.500 0.000 0.000
N4 N 0.000 0.500 0.500


# 4
# Pr3ZnN PBE-GGA relaxed
# - VASP energy (eV/atom) = -5.350
# - formation energy without anion corrections (eV per atom) = -0.5625
# - total magnetic moment (μB/cell) = 0.0
data_Pr3ZnN
_cell_length_a 6.437
_cell_length_b 9.647
_cell_length_c 8.811
_cell_angle_alpha 115.63
_cell_angle_beta 90.00
_cell_angle_gamma 90.00
_symmetry_space_group_name_H-M 'P 1'
_symmetry_Int_Tables_number 1
loop_
_symmetry_equiv_pos_as_xyz
'x,y,z'
loop_
_atom_site_label
_atom_site_type_symbol
_atom_site_fract_x
_atom_site_fract_y
_atom_site_fract_z
Pr1 Pr 0.078 0.640 0.927
Pr2 Pr 0.922 0.360 0.073
Pr3 Pr 0.578 0.860 0.073
Pr4 Pr 0.422 0.140 0.927
Pr5 Pr 0.586 0.450 0.800
Pr6 Pr 0.414 0.550 0.200
Pr7 Pr 0.086 0.050 0.200
Pr8 Pr 0.914 0.950 0.800
Pr9 Pr 0.114 0.232 0.645
Pr10 Pr 0.886 0.768 0.355
Pr11 Pr 0.614 0.268 0.355
Pr12 Pr 0.386 0.732 0.645
Zn1 Zn 0.850 0.587 0.575
Zn2 Zn 0.150 0.413 0.425
Zn3 Zn 0.350 0.913 0.425
Zn4 Zn 0.650 0.087 0.575
N1 N 0.249 0.398 0.927
N2 N 0.751 0.602 0.073
N3 N 0.749 0.102 0.073
N4 N 0.251 0.898 0.927


# 5
# Pr12Zn6N PBE-GGA relaxed
# - VASP energy (eV/atom) = -4.100
# - formation energy without anion corrections (eV per atom) = -0.2410
# - total magnetic moment (μB/cell) = 0.0
data_Pr12Zn6N
_cell_length_a 8.231
_cell_length_b 8.231
_cell_length_c 8.231
_cell_angle_alpha 94.74
_cell_angle_beta 94.74
_cell_angle_gamma 94.74
_symmetry_space_group_name_H-M 'P 1'
_symmetry_Int_Tables_number 1
loop_
_symmetry_equiv_pos_as_xyz
'x,y,z'
loop_
_atom_site_label
_atom_site_type_symbol
_atom_site_fract_x
_atom_site_fract_y
_atom_site_fract_z
Pr1 Pr 0.808 0.578 0.462
Pr2 Pr 0.462 0.808 0.578
Pr3 Pr 0.578 0.462 0.808
Pr4 Pr 0.192 0.422 0.538
Pr5 Pr 0.538 0.192 0.422
Pr6 Pr 0.422 0.538 0.192
Pr7 Pr 0.963 0.078 0.296
Pr8 Pr 0.922 0.704 0.037
Pr9 Pr 0.704 0.037 0.922
Pr10 Pr 0.037 0.922 0.704
Pr11 Pr 0.078 0.296 0.963
Pr12 Pr 0.296 0.963 0.078
Zn1 Zn 0.652 0.847 0.254
Zn2 Zn 0.746 0.348 0.153
Zn3 Zn 0.153 0.746 0.348
Zn4 Zn 0.348 0.153 0.746
Zn5 Zn 0.254 0.652 0.847
Zn6 Zn 0.847 0.254 0.652
N1 N 0.000 0.000 0.000


# 6
# PrZr2ZnN4 PBE-GGA relaxed
# - VASP energy (eV/atom) = -8.237
# - formation energy without anion corrections (eV per atom) = -1.1810
# - total magnetic moment (μB/cell) = 0.0
data_PrZr2ZnN4
_cell_length_a 3.346
_cell_length_b 5.835
_cell_length_c 11.329
_cell_angle_alpha 90.00
_cell_angle_beta 90.00
_cell_angle_gamma 106.66
_symmetry_space_group_name_H-M 'P 1'
_symmetry_Int_Tables_number 1
loop_
_symmetry_equiv_pos_as_xyz
'x,y,z'
loop_
_atom_site_label
_atom_site_type_symbol
_atom_site_fract_x
_atom_site_fract_y
_atom_site_fract_z
Pr1 Pr 0.108 0.217 0.750
Pr2 Pr 0.892 0.783 0.250
Zr1 Zr 0.371 0.742 0.546
Zr2 Zr 0.629 0.258 0.046
Zr3 Zr 0.629 0.258 0.454
Zr4 Zr 0.371 0.742 0.954
Zn1 Zn 0.841 0.682 0.750
Zn2 Zn 0.159 0.318 0.250
N1 N 0.271 0.541 0.113
N2 N 0.729 0.459 0.613
N3 N 0.729 0.459 0.887
N4 N 0.271 0.541 0.387
N5 N 0.000 0.000 0.500
N6 N 0.000 0.000 0.000
N7 N 0.441 0.882 0.750
N8 N 0.559 0.118 0.250


# 7
# Pr3ZrN4 PBE-GGA relaxed
# - VASP energy (eV/atom) = -8.340
# - formation energy without anion corrections (eV per atom) = -1.3167
# - total magnetic moment (μB/cell) = 0.0
data_Pr3ZrN4
_cell_length_a 5.223
_cell_length_b 7.095
_cell_length_c 8.212
_cell_angle_alpha 90.00
_cell_angle_beta 90.00
_cell_angle_gamma 90.00
_symmetry_space_group_name_H-M 'P 1'
_symmetry_Int_Tables_number 1
loop_
_symmetry_equiv_pos_as_xyz
'x,y,z'
loop_
_atom_site_label
_atom_site_type_symbol
_atom_site_fract_x
_atom_site_fract_y
_atom_site_fract_z
Pr1 Pr 0.562 0.845 0.000
Pr2 Pr 0.062 0.670 0.247
Pr3 Pr 0.562 0.330 0.253
Pr4 Pr 0.062 0.155 0.500
Pr5 Pr 0.562 0.330 0.747
Pr6 Pr 0.062 0.670 0.753
Zr1 Zr 0.033 0.174 0.000
Zr2 Zr 0.533 0.826 0.500
N1 N 0.059 0.871 0.000
N2 N 0.614 0.175 0.000
N3 N 0.061 0.317 0.230
N4 N 0.561 0.683 0.270
N5 N 0.114 0.825 0.500
N6 N 0.559 0.129 0.500
N7 N 0.561 0.683 0.730
N8 N 0.061 0.317 0.770


# 8
# PrZrN2 PBE-GGA relaxed
# - VASP energy (eV/atom) = -8.643
# - formation energy without anion corrections (eV per atom) = -1.1481
# - total magnetic moment (μB/cell) = 0.0
data_PrZrN2
_cell_length_a 3.215
_cell_length_b 6.198
_cell_length_c 13.473
_cell_angle_alpha 90.00
_cell_angle_beta 90.00
_cell_angle_gamma 90.00
_symmetry_space_group_name_H-M 'P 1'
_symmetry_Int_Tables_number 1
loop_
_symmetry_equiv_pos_as_xyz
'x,y,z'
loop_
_atom_site_label
_atom_site_type_symbol
_atom_site_fract_x
_atom_site_fract_y
_atom_site_fract_z
Pr1 Pr 0.250 0.352 0.674
Pr2 Pr 0.750 0.648 0.326
Pr3 Pr 0.250 0.852 0.826
Pr4 Pr 0.750 0.148 0.174
Zr1 Zr 0.250 0.356 0.921
Zr2 Zr 0.750 0.644 0.079
Zr3 Zr 0.250 0.856 0.579
Zr4 Zr 0.750 0.144 0.421
N1 N 0.250 0.825 0.155
N2 N 0.750 0.175 0.845
N3 N 0.250 0.325 0.345
N4 N 0.750 0.675 0.655
N5 N 0.250 0.869 0.424
N6 N 0.750 0.131 0.576
N7 N 0.250 0.369 0.076
N8 N 0.750 0.631 0.924


# 9
# Pr3ZrN4 PBE-GGA relaxed
# - VASP energy (eV/atom) = -8.392
# - formation energy without anion corrections (eV per atom) = -1.3681
# - total magnetic moment (μB/cell) = 0.0
data_Pr3ZrN4
_cell_length_a 3.553
_cell_length_b 6.192
_cell_length_c 6.192
_cell_angle_alpha 109.08
_cell_angle_beta 90.00
_cell_angle_gamma 90.00
_symmetry_space_group_name_H-M 'P 1'
_symmetry_Int_Tables_number 1
loop_
_symmetry_equiv_pos_as_xyz
'x,y,z'
loop_
_atom_site_label
_atom_site_type_symbol
_atom_site_fract_x
_atom_site_fract_y
_atom_site_fract_z
Pr1 Pr 0.000 0.000 0.500
Pr2 Pr 0.500 0.500 0.500
Pr3 Pr 0.000 0.500 0.000
Zr1 Zr 0.500 0.000 0.000
N1 N 0.000 0.225 0.225
N2 N 0.500 0.767 0.233
N3 N 0.000 0.775 0.775
N4 N 0.500 0.233 0.767